i.
Material: Be2AlPb
Method: DFT, PBEsol
State: relaxed

abc: 4.574 4.574 4.574
angles: 60.00 60.00 60.00
Atoms (fractional coordinates):
Be: 0.250 0.250 0.250
Al: 0.500 0.500 0.500
Pb: 0.750 0.750 0.750
Be: 0.000 0.000 0.000

Output
Total magnetic moment ... 0.00 μB/cell
DOS(E_F) ... 1.65 states/eV/cell
Space group ... F-43m, No. 216

***

ii.
Material: Be2AlPb
Method: DFT, PBEsol
State: relaxed

abc: 3.009 3.009 7.221
angles: 90.00 90.00 90.00
Atoms (fractional coordinates):
Al: 0.500 0.500 0.830
Be: 0.500 0.500 0.171
Pb: 0.000 0.000 0.460
Be: 0.000 0.000 0.039

Output
Total magnetic moment ... 0.00 μB/cell
DOS(E_F) ... 1.65 states/eV/cell
Space group ... P4mm, No. 99

***

iii.
Material: Be2AlPb
Method: DFT, PBEsol
State: relaxed

abc: 2.930 3.641 6.181
angles: 90.00 90.00 90.00
Atoms (fractional coordinates):
Be: 0.000 0.000 0.673
Al: 0.500 0.500 0.500
Pb: 0.500 0.500 0.000
Be: 0.000 0.000 0.327

Output
Total magnetic moment ... 0.00 μB/cell
DOS(E_F) ... 1.55 states/eV/cell
Space group ... Pmmm, No. 47

***

iv.
Material: Be2AlPb
Method: DFT, PBEsol
State: relaxed

abc: 3.158 3.158 7.910
angles: 78.48 78.48 60.00
Atoms (fractional coordinates):
Be: 0.743 0.743 0.771
Pb: 0.500 0.500 0.500
Al: 0.000 0.000 0.000
Be: 0.257 0.257 0.229

Output
Total magnetic moment ... 0.00 μB/cell
DOS(E_F) ... 1.16 states/eV/cell
Space group ... R-3m, No. 166

***

Which structure is the least stable? The one labeled i.

***

i.
Material: BeAlRe
Method: DFT, PBEsol
State: relaxed

abc: 3.981 3.981 3.981
angles: 60.00 60.00 60.00
Last column: magnetic moment on the atom in μB.
Atoms (fractional coordinates):
Be: 0.000 0.000 0.000  -0.01
Al: 0.250 0.250 0.250  0.00
Re: 0.500 0.500 0.500  0.65

Output
Total magnetic moment ... 0.73 μB/cell
DOS(E_F) ... 3.36 states/eV/cell
Space group ... F-43m, No. 216

***

ii.
Material: BeAlRe
Method: DFT, PBEsol
State: relaxed

abc: 2.986 2.986 4.711
angles: 108.48 108.48 90.00
Atoms (fractional coordinates):
Be: 0.687 0.687 0.374
Re: 0.313 0.313 0.627
Al: 0.999 0.999 0.999

Output
Total magnetic moment ... 0.00 μB/cell
DOS(E_F) ... 1.32 states/eV/cell
Space group ... I4mm, No. 107

***

Which structure is the least stable? The one labeled i.

***

i.
Material: BeAlRe2
Method: DFT, PBEsol
State: relaxed

abc: 3.040 4.281 4.817
angles: 116.38 108.40 90.00
Atoms (fractional coordinates):
Al: 0.500 0.000 0.000
Re: 0.259 0.259 0.519
Re: 0.741 0.741 0.481
Be: 0.000 0.500 0.000

Output
Total magnetic moment ... 0.00 μB/cell
DOS(E_F) ... 1.81 states/eV/cell
Space group ... Immm, No. 71

***

ii.
Material: BeAlRe2
Method: DFT, PBEsol
State: relaxed

abc: 2.978 2.978 5.840
angles: 90.00 90.00 90.00
Atoms (fractional coordinates):
Re: 0.000 0.000 0.980
Be: 0.500 0.500 0.758
Re: 0.500 0.500 0.240
Al: 0.000 0.000 0.522

Output
Total magnetic moment ... 0.00 μB/cell
DOS(E_F) ... 1.53 states/eV/cell
Space group ... P4mm, No. 99

***

Which structure is the least stable? The one labeled i.

***

i.
Material: BeAlRh2
Method: DFT, PBEsol
State: relaxed

abc: 2.857 3.951 4.970
angles: 113.43 106.70 90.00
Atoms (fractional coordinates):
Be: 0.262 0.762 0.524
Al: 0.509 0.509 0.019
Rh: 0.980 0.980 0.961
Rh: 0.748 0.248 0.496

Output
Total magnetic moment ... 0.00 μB/cell
DOS(E_F) ... 3.22 states/eV/cell
Space group ... Imm2, No. 44

***

ii.
Material: BeAlRh2
Method: DFT, PBEsol
State: relaxed

abc: 4.060 4.060 4.060
angles: 60.00 60.00 60.00
Atoms (fractional coordinates):
Rh: 0.250 0.250 0.250
Al: 0.500 0.500 0.500
Rh: 0.750 0.750 0.750
Be: 0.000 0.000 0.000

Output
Total magnetic moment ... 0.00 μB/cell
DOS(E_F) ... 1.11 states/eV/cell
Space group ... Fm-3m, No. 225

***

Which structure is the least stable? The one labeled i.

***

i.
Material: BeAlRh2
Method: DFT, PBEsol
State: relaxed

abc: 2.863 2.863 5.728
angles: 90.00 90.00 90.00
Atoms (fractional coordinates):
Be: 0.500 0.500 0.500
Rh: 0.000 0.000 0.735
Al: 0.500 0.500 0.000
Rh: 0.000 0.000 0.265

Output
Total magnetic moment ... 0.00 μB/cell
DOS(E_F) ... 0.90 states/eV/cell
Space group ... P4/mmm, No. 123

***

ii.
Material: BeAlRh2
Method: DFT, PBEsol
State: relaxed

abc: 2.908 4.216 4.593
angles: 109.34 90.00 110.17
Atoms (fractional coordinates):
Rh: 0.272 0.545 0.275
Al: 0.500 0.000 0.000
Rh: 0.728 0.455 0.725
Be: 0.000 0.000 0.500

Output
Total magnetic moment ... 0.00 μB/cell
DOS(E_F) ... 1.90 states/eV/cell
Space group ... C2/m, No. 12

***

Which structure is the least stable? The one labeled ii.

***

i.
Material: Be2AlSb
Method: DFT, PBEsol
State: relaxed

abc: 4.064 4.673 4.064
angles: 115.77 90.00 115.77
Atoms (fractional coordinates):
Be: 0.250 0.500 0.750
Sb: 0.500 0.000 0.500
Be: 0.750 0.500 0.250
Al: 0.000 0.000 0.000

Output
Total magnetic moment ... 0.00 μB/cell
DOS(E_F) ... 1.62 states/eV/cell
Space group ... I4/mmm, No. 139

***

ii.
Material: Be2AlSb
Method: DFT, PBEsol
State: relaxed

abc: 2.937 3.724 5.777
angles: 90.00 96.13 90.00
Atoms (fractional coordinates):
Be: 0.506 0.000 0.684
Al: 0.000 0.500 0.500
Sb: 0.500 0.500 0.000
Be: 0.494 0.000 0.316

Output
Total magnetic moment ... 0.00 μB/cell
DOS(E_F) ... 1.56 states/eV/cell
Space group ... P2/m, No. 10

***

iii.
Material: Be2AlSb
Method: DFT, PBEsol
State: relaxed

abc: 5.991 5.991 5.991
angles: 93.12 118.21 118.21
Atoms (fractional coordinates):
Al: 0.000 0.500 0.500
Al: 0.500 0.250 0.750
Be: 0.993 0.118 0.625
Sb: 0.500 0.750 0.250
Be: 0.007 0.632 0.125
Sb: 0.000 0.000 0.000
Be: 0.493 0.375 0.368
Be: 0.507 0.875 0.882

Output
Total magnetic moment ... 0.00 μB/cell
DOS(E_F) ... 2.73 states/eV/cell
Space group ... I-42d, No. 122

***

Which structure is the least stable? The one labeled iii.

***

i.
Material: BeAlTc2
Method: DFT, PBEsol
State: relaxed

abc: 2.613 4.761 4.761
angles: 114.30 99.37 99.37
Atoms (fractional coordinates):
Tc: 0.000 0.500 0.000
Be: 0.500 0.500 0.500
Tc: 0.000 0.000 0.500
Al: 0.500 0.000 0.000

Output
Total magnetic moment ... 0.00 μB/cell
DOS(E_F) ... 2.28 states/eV/cell
Space group ... C2/m, No. 12

***

ii.
Material: BeAlTc2
Method: DFT, PBEsol
State: relaxed

abc: 2.772 3.875 4.887
angles: 90.00 106.47 90.00
Atoms (fractional coordinates):
Tc: 0.084 0.000 0.168
Al: 0.819 0.000 0.638
Tc: 0.436 0.500 0.872
Be: 0.686 0.500 0.372

Output
Total magnetic moment ... 0.00 μB/cell
DOS(E_F) ... 2.62 states/eV/cell
Space group ... Amm2, No. 38

***

Which structure is the least stable? The one labeled i.

***

i.
Material: BeAl2Te
Method: DFT, PBEsol
State: relaxed

abc: 3.747 3.747 5.282
angles: 90.00 90.00 90.00
Atoms (fractional coordinates):
Al: 0.000 0.500 0.000
Te: 0.000 0.000 0.500
Al: 0.500 0.000 0.000
Be: 0.500 0.500 0.500

Output
Total magnetic moment ... 0.00 μB/cell
DOS(E_F) ... 1.83 states/eV/cell
Space group ... P4/mmm, No. 123

***

ii.
Material: BeAl2Te
Method: DFT, PBEsol
State: relaxed

abc: 3.787 3.787 5.813
angles: 109.01 109.01 90.00
Atoms (fractional coordinates):
Al: 0.250 0.750 0.500
Al: 0.750 0.250 0.500
Be: 0.500 0.500 0.000
Te: 0.000 0.000 0.000

Output
Total magnetic moment ... 0.00 μB/cell
DOS(E_F) ... 1.46 states/eV/cell
Space group ... I4/mmm, No. 139

***

iii.
Material: BeAl2Te
Method: DFT, PBEsol
State: relaxed

abc: 3.642 3.642 5.807
angles: 90.00 90.00 90.00
Atoms (fractional coordinates):
Be: 0.000 0.000 0.606
Al: 0.500 0.500 0.193
Al: 0.000 0.000 0.050
Te: 0.500 0.500 0.651

Output
Total magnetic moment ... 0.00 μB/cell
DOS(E_F) ... 1.46 states/eV/cell
Space group ... P4mm, No. 99

***

Which structure is the least stable? The one labeled i.